Ca2Pr2Cd | GGA-PBE | optimized geometry

## Properties
Total DFT energy (no corrections), eV/cell: -15.070
V, Å³/f.u.: 171
Formation energy from the elements, eV per atom: -0.118
Total moment, μB per atom: 0.0000

Cell lengths 3.7392, 3.7392, 12.5190 Å; angles 98.59, 98.59, 90.00 degrees
Fractional coordinates of all 5 atoms:
Ca (0.5820, 0.5820, 0.1639)
Ca (0.4180, 0.4180, 0.8361)
Pr (0.8005, 0.8005, 0.6010)
Pr (0.1995, 0.1995, 0.3990)
Cd (0.0000, 0.0000, 0.0000)

PmThTe3 | GGA-PBE | optimized geometry

## Properties
Energy relative to the elements, uncorrected, eV per atom: -1.059
Offset from the most stable computed form, eV per atom: 0.034
Total DFT energy (no corrections), eV/cell: -53.777
V, Å³/f.u.: 198
Total moment, μB per atom: 0.1510

Cell lengths 4.6908, 10.1059, 8.5932 Å; angles 92.23, 90.00, 103.42 degrees
Site moments in Bohr magnetons follow the coordinates.
Fractional coordinates of all 10 atoms:
Pm (0.3461, 0.6922, 0.6206)  0.01
Pm (0.6539, 0.3078, 0.3794)  0.01
Th (0.0855, 0.1711, 0.9333)  0.36
Th (0.9145, 0.8289, 0.0667)  0.36
Te (0.9550, 0.9100, 0.7111)  0.00
Te (0.0450, 0.0900, 0.2889)  0.00
Te (0.6769, 0.3539, 0.0248)  0.00
Te (0.3231, 0.6461, 0.9752)  0.00
Te (0.8182, 0.6363, 0.3734)  0.00
Te (0.1818, 0.3637, 0.6266)  0.00